# V3P4O15, optimized geometry, DFT PBE with a Hubbard U
data_V3P4O15
_space_group_name_H-M_alt 'P n m a'
_space_group_IT_number 62
_cell_length_a 17.790
_cell_length_b 12.397
_cell_length_c 5.334
_cell_angle_alpha 90.00
_cell_angle_beta 90.00
_cell_angle_gamma 90.00
loop_
_space_group_symop_operation_xyz
'x,y,z'
'-x,-y,-z'
'-x+1/2,-y,z+1/2'
'x+1/2,y,-z+1/2'
'x+1/2,-y+1/2,-z+1/2'
'-x+1/2,y+1/2,z+1/2'
'-x,y+1/2,-z'
'x,-y+1/2,z'
loop_
_atom_site_label
_atom_site_type_symbol
_atom_site_fract_x
_atom_site_fract_y
_atom_site_fract_z
V1 V 0.124 0.020 0.246
V2 V 0.172 0.250 0.489
P1 P 0.037 0.132 0.762
P2 P 0.195 0.626 0.740
O1 O 0.002 0.750 0.245
O2 O 0.025 0.553 0.279
O3 O 0.080 0.125 0.007
O4 O 0.093 0.132 0.534
O5 O 0.159 0.575 0.965
O6 O 0.167 0.750 0.731
O7 O 0.175 0.574 0.494
O8 O 0.217 0.133 0.270
O9 O 0.222 0.250 0.739
# Calculated total energy ... -7.544 eV per atom
# Density of states at the Fermi level ... 0.000 states/eV/cell